# 1
VASP calculation (PBE) on Pr6Fe13Pb after structural relaxation.

**ΔH_f (0 K)**: -0.06 eV/atom
**Fermi-level density of states**: 41.6 states/eV per cell
**Size of the total moment**: 26.01 μB per formula unit
**Calculated total energy**: -287.06 eV/cell
**Volume**: 778 Å³ per cell
**Space group**: No. 140

Lattice parameters (Å, degrees): 8.0753 8.0753 13.2325 107.77 107.77 90.00
Sites, in units of the cell vectors:
Pr1 0.0197 0.5197 0.3657
Pr2 0.9803 0.4803 0.6343
Pr3 0.8967 0.8967 0.7934
Pr4 0.6540 0.1540 0.6343
Pr5 0.6033 0.6033 0.2066
Pr6 0.1033 0.1033 0.2066
Pr7 0.4803 0.6540 0.6343
Pr8 0.8460 0.0197 0.3657
Pr9 0.3967 0.3967 0.7934
Pr10 0.1540 0.9803 0.6343
Pr11 0.5197 0.3460 0.3657
Pr12 0.3460 0.8460 0.3657
Fe1 0.2361 0.7361 0.1145
Fe2 0.9334 0.7901 0.0000
Fe3 0.7954 0.5218 0.8172
Fe4 0.9782 0.7046 0.1828
Fe5 0.8784 0.3784 0.1145
Fe6 0.7361 0.8784 0.1145
Fe7 0.6216 0.7639 0.8855
Fe8 0.0666 0.2099 0.0000
Fe9 0.2639 0.1216 0.8855
Fe10 0.2099 0.9334 0.0000
Fe11 0.7639 0.2639 0.8855
Fe12 0.5666 0.2901 0.0000
Fe13 0.5218 0.0217 0.8172
Fe14 0.3784 0.2361 0.1145
Fe15 0.2046 0.4782 0.1828
Fe16 0.5000 0.0000 0.0000
Fe17 0.7099 0.5666 0.0000
Fe18 0.2954 0.7954 0.8172
Fe19 0.4782 0.9782 0.1828
Fe20 0.7046 0.2046 0.1828
Fe21 0.7901 0.0666 0.0000
Fe22 0.2901 0.4334 0.0000
Fe23 0.0000 0.5000 0.0000
Fe24 0.1216 0.6216 0.8855
Fe25 0.0217 0.2954 0.8172
Fe26 0.4334 0.7099 0.0000
Pb1 0.7500 0.7500 0.5000
Pb2 0.2500 0.2500 0.5000

=====

# 2
VASP calculation (PBE) on CrFe2P after structural relaxation.

**ΔH_f (0 K)**: 0.04 eV/atom
**Fermi-level density of states**: 3.6 states/eV per cell
**Size of the total moment**: 1.78 μB per formula unit
**Calculated total energy**: -31.79 eV/cell
**Volume**: 45 Å³ per cell
**Space group**: No. 160

Lattice parameters (Å, degrees): 7.7314 7.7314 7.7314 19.46 19.46 19.46
Sites, in units of the cell vectors:
Cr1 0.7525 0.7525 0.7525
Fe1 0.9997 0.9997 0.9997
Fe2 0.2452 0.2452 0.2452
P1 0.5027 0.5027 0.5027

=====

# 3
VASP calculation (PBE) on LiMo2OsAu after structural relaxation.

**ΔH_f (0 K)**: 1.18 eV/atom
**Fermi-level density of states**: 3.4 states/eV per cell
**Size of the total moment**: 0.00 μB per formula unit
**Calculated total energy**: -32.18 eV/cell
**Volume**: 74 Å³ per cell
**Space group**: No. 123

Lattice parameters (Å, degrees): 4.1941 4.2037 4.1941 90.00 90.00 90.00
Sites, in units of the cell vectors:
Os1 0.0000 0.5000 0.0000
Mo1 0.0000 0.0000 0.5000
Mo2 0.5000 0.0000 0.0000
Au1 0.5000 0.5000 0.5000
Li1 0.0000 0.0000 0.0000

=====

# 4
VASP calculation (PBE) on SrYTlI6 after structural relaxation.

**Fermi-level density of states**: 0.0 states/eV per cell
**ΔE_f (raw)**: -1.337 eV/atom
**Size of the total moment**: 0.00 μB per formula unit
**Calculated total energy**: -63.70 eV/cell
**Volume**: 873 Å³ per cell
**Space group**: No. 163

Lattice parameters (Å, degrees): 8.1987 8.1987 15.0030 90.00 90.00 120.00
Sites, in units of the cell vectors:
Sr1 0.3333 0.6667 0.2500
Sr2 0.6667 0.3333 0.7500
Y1 0.6667 0.3333 0.2500
Y2 0.3333 0.6667 0.7500
Tl1 0.0000 0.0000 0.0000
Tl2 0.0000 0.0000 0.5000
I1 0.6492 0.6262 0.1308
I2 0.9771 0.3508 0.1308
I3 0.3508 0.9771 0.6308
I4 0.0229 0.6492 0.8692
I5 0.3738 0.3508 0.3692
I6 0.9771 0.6262 0.3692
I7 0.6262 0.9771 0.8692
I8 0.6492 0.0229 0.3692
I9 0.0229 0.3738 0.6308
I10 0.3738 0.0229 0.1308
I11 0.6262 0.6492 0.6308
I12 0.3508 0.3738 0.8692

=====

# 5
VASP calculation (PBE) on FeReBi2 after structural relaxation.

**ΔH_f (0 K)**: 1.00 eV/atom
**Fermi-level density of states**: 3.8 states/eV per cell
**E above lowest polymorph**: 0 meV/atom
**Size of the total moment**: 0.00 μB per formula unit
**Calculated total energy**: -24.67 eV/cell
**Volume**: 76 Å³ per cell
**Space group**: No. 225

Lattice parameters (Å, degrees): 4.7632 4.7632 4.7632 60.00 60.00 60.00
Sites, in units of the cell vectors:
Re1 0.5000 0.5000 0.5000
Bi1 0.2500 0.2500 0.2500
Bi2 0.7500 0.7500 0.7500
Fe1 0.0000 0.0000 0.0000

=====

# 6
VASP calculation (PBE) on NaGa2Pd2 after structural relaxation.

**ΔH_f (0 K)**: -0.53 eV/atom
**Fermi-level density of states**: 2.6 states/eV per cell
**E above lowest polymorph**: 0 meV/atom
**Size of the total moment**: 0.00 μB per formula unit
**Calculated total energy**: -40.81 eV/cell
**Volume**: 166 Å³ per cell
**Space group**: No. 127

Lattice parameters (Å, degrees): 7.6726 7.6726 2.8264 90.00 90.00 90.00
Sites, in units of the cell vectors:
Na1 0.0000 0.0000 0.0000
Na2 0.5000 0.5000 0.0000
Ga1 0.3719 0.8719 0.0000
Ga2 0.8719 0.6281 0.0000
Ga3 0.6281 0.1281 0.0000
Ga4 0.1281 0.3719 0.0000
Pd1 0.1695 0.6695 0.5000
Pd2 0.6695 0.8305 0.5000
Pd3 0.8305 0.3305 0.5000
Pd4 0.3305 0.1695 0.5000

=====

# 7
VASP calculation (PBE) on Li2CdSi2Pd5 after structural relaxation.

**Fermi-level density of states**: 3.8 states/eV per cell
**ΔE_f (raw)**: -0.552 eV/atom
**Size of the total moment**: 0.00 μB per formula unit
**Calculated total energy**: -94.14 eV/cell
**Volume**: 321 Å³ per cell
**Space group**: No. 127

Lattice parameters (Å, degrees): 3.5493 9.5046 9.5046 90.00 90.00 90.00
Sites, in units of the cell vectors:
Li1 0.0000 0.6701 0.1701
Li2 0.0000 0.3299 0.8299
Li3 0.0000 0.1701 0.3299
Li4 0.0000 0.8299 0.6701
Cd1 0.0000 0.0000 0.0000
Cd2 0.0000 0.5000 0.5000
Si1 0.0000 0.1277 0.6277
Si2 0.0000 0.8723 0.3723
Si3 0.0000 0.6277 0.8723
Si4 0.0000 0.3723 0.1277
Pd1 0.5000 0.2101 0.0759
Pd2 0.5000 0.7899 0.9241
Pd3 0.5000 0.0759 0.7899
Pd4 0.5000 0.7101 0.4241
Pd5 0.5000 0.9241 0.2101
Pd6 0.5000 0.2899 0.5759
Pd7 0.5000 0.5759 0.7101
Pd8 0.5000 0.4241 0.2899
Pd9 0.5000 0.5000 0.0000
Pd10 0.5000 0.0000 0.5000

=====

# 8
VASP calculation (PBE) on KSnB after structural relaxation.

**ΔH_f (0 K)**: 0.53 eV/atom
**Fermi-level density of states**: 1.7 states/eV per cell
**Size of the total moment**: 0.00 μB per formula unit
**Calculated total energy**: -20.40 eV/cell
**Volume**: 153 Å³ per cell
**Space group**: No. 59

Lattice parameters (Å, degrees): 4.0916 7.8220 4.7676 90.00 90.00 90.00
Sites, in units of the cell vectors:
K1 0.0000 0.1715 0.0000
K2 0.5000 0.8285 0.5000
B1 0.0000 0.5261 0.5000
B2 0.5000 0.4739 0.0000
Sn1 0.0000 0.6334 0.0000
Sn2 0.5000 0.3666 0.5000

=====

# 9
VASP calculation (PBE) on ZrTa2RhS after structural relaxation.

**Fermi-level density of states**: 4.5 states/eV per cell
**ΔE_f (raw)**: -0.086 eV/atom
**Size of the total moment**: 0.00 μB per formula unit
**Calculated total energy**: -44.16 eV/cell
**Volume**: 93 Å³ per cell
**Space group**: No. 123

Lattice parameters (Å, degrees): 4.5883 4.4253 4.5883 90.00 90.00 90.00
Sites, in units of the cell vectors:
S1 0.0000 0.0000 0.0000
Rh1 0.0000 0.5000 0.0000
Zr1 0.5000 0.5000 0.5000
Ta1 0.0000 0.0000 0.5000
Ta2 0.5000 0.0000 0.0000

=====

# 10
VASP calculation (PBE) on SrLaI4 after structural relaxation.

**Fermi-level density of states**: 4.5 states/eV per cell
**ΔE_f (raw)**: -1.489 eV/atom
**E above lowest polymorph**: 48 meV/atom
**Size of the total moment**: 0.54 μB per formula unit
**Calculated total energy**: -21.74 eV/cell
**Volume**: 283 Å³ per cell
**Space group**: No. 10

Lattice parameters (Å, degrees): 4.4072 8.2080 8.2223 108.04 90.00 90.00
Sites, in units of the cell vectors:
Sr1 0.0000 0.5000 0.5000
La1 0.5000 0.5000 0.0000
I1 0.0000 0.2513 0.7480
I2 0.0000 0.7487 0.2520
I3 0.5000 0.2536 0.2434
I4 0.5000 0.7464 0.7566

=====

# 11
VASP calculation (PBE) on V2MoW4 after structural relaxation.

**ΔH_f (0 K)**: -0.09 eV/atom
**Fermi-level density of states**: 7.0 states/eV per cell
**E above lowest polymorph**: 0 meV/atom
**Size of the total moment**: 0.00 μB per formula unit
**Calculated total energy**: -163.01 eV/cell
**Volume**: 215 Å³ per cell
**Space group**: No. 1

Lattice parameters (Å, degrees): 6.8349 8.1313 5.1892 100.00 102.11 125.05
Sites, in units of the cell vectors:
V1 0.6591 0.5164 0.5712
V2 0.0880 0.1616 0.5002
V3 0.8035 0.2316 0.7130
V4 0.6628 0.0192 0.0725
Mo1 0.2340 0.8763 0.6451
Mo2 0.9449 0.9472 0.8568
W1 0.5228 0.8084 0.4303
W2 0.3744 0.5872 0.7842
W3 0.3786 0.0924 0.2896
W4 0.9417 0.4413 0.3571
W5 0.0877 0.6583 0.9967
W6 0.8046 0.7344 0.2152
W7 0.2289 0.3716 0.1431
W8 0.5191 0.3040 0.9251

=====

# 12
VASP calculation (PBE) on Rb2LaAs2S6 after structural relaxation.

**Fermi-level density of states**: 4.0 states/eV per cell
**ΔE_f (raw)**: -0.869 eV/atom
**Size of the total moment**: 0.00 μB per formula unit
**Calculated total energy**: -50.48 eV/cell
**Volume**: 341 Å³ per cell
**Space group**: No. 12

Lattice parameters (Å, degrees): 7.2722 7.1556 8.6914 114.59 90.00 120.54
Sites, in units of the cell vectors:
Rb1 0.7046 0.4092 0.1876
Rb2 0.2954 0.5908 0.8124
La1 0.5000 0.0000 0.5000
As1 0.9554 0.9107 0.8142
As2 0.0446 0.0893 0.1858
S1 0.7552 0.5105 0.6098
S2 0.1983 0.8986 0.2120
S3 0.2997 0.1014 0.7880
S4 0.8017 0.1014 0.7880
S5 0.7003 0.8986 0.2120
S6 0.2448 0.4895 0.3902

=====

# 13
VASP calculation (PBE) on In2HgP after structural relaxation.

**ΔH_f (0 K)**: 0.08 eV/atom
**Fermi-level density of states**: 2.0 states/eV per cell
**E above lowest polymorph**: 101 meV/atom
**Size of the total moment**: 0.00 μB per formula unit
**Calculated total energy**: -10.88 eV/cell
**Volume**: 107 Å³ per cell
**Space group**: No. 99

Lattice parameters (Å, degrees): 3.7153 3.7153 7.7481 90.00 90.00 90.00
Sites, in units of the cell vectors:
Hg1 0.5000 0.5000 0.7779
In1 0.0000 0.0000 0.9866
In2 0.5000 0.5000 0.4127
P1 0.0000 0.0000 0.3228

=====

# 14
VASP calculation (PBE) on LiAg2AsN after structural relaxation.

**Fermi-level density of states**: 3.0 states/eV per cell
**ΔE_f (raw)**: 0.701 eV/atom
**Size of the total moment**: 0.00 μB per formula unit
**Calculated total energy**: -17.09 eV/cell
**Volume**: 100 Å³ per cell
**Space group**: No. 123

Lattice parameters (Å, degrees): 5.0702 5.0702 3.8918 90.00 90.00 90.00
Sites, in units of the cell vectors:
As1 0.0000 0.0000 0.0000
Li1 0.5000 0.5000 0.5000
Ag1 0.0000 0.5000 0.0000
Ag2 0.5000 0.0000 0.0000
N1 0.0000 0.0000 0.5000

=====

# 15
VASP calculation (PBE) on MnTl2Pd after structural relaxation.

**ΔH_f (0 K)**: 0.35 eV/atom
**Fermi-level density of states**: 4.6 states/eV per cell
**E above lowest polymorph**: 146 meV/atom
**Size of the total moment**: 4.17 μB per formula unit
**Calculated total energy**: -35.37 eV/cell
**Volume**: 181 Å³ per cell
**Space group**: No. 122

Lattice parameters (Å, degrees): 4.2973 4.2973 10.2568 77.91 77.91 90.00
Sites, in units of the cell vectors:
Tl1 0.6280 0.1250 0.2500
Tl2 0.1220 0.6250 0.2500
Tl3 0.3750 0.3720 0.7500
Tl4 0.8750 0.8780 0.7500
Mn1 0.5000 0.5000 0.0000
Mn2 0.2500 0.7500 0.5000
Pd1 0.0000 0.0000 0.0000
Pd2 0.7500 0.2500 0.5000

=====

# 16
VASP calculation (PBE) on CdMoPb2 after structural relaxation.

**ΔH_f (0 K)**: 0.64 eV/atom
**Fermi-level density of states**: 3.0 states/eV per cell
**Size of the total moment**: 1.51 μB per formula unit
**Calculated total energy**: -16.60 eV/cell
**Volume**: 96 Å³ per cell
**Space group**: No. 71

Lattice parameters (Å, degrees): 5.8288 5.8288 5.8288 142.44 126.40 67.29
Sites, in units of the cell vectors:
Cd1 0.2500 0.7500 0.5000
Mo1 0.7500 0.2500 0.5000
Pb1 0.9819 0.9819 0.0000
Pb2 0.5181 0.5181 0.0000

=====

# 17
VASP calculation (PBE) on PrY4Ho2 after structural relaxation.

**ΔH_f (0 K)**: 0.03 eV/atom
**Fermi-level density of states**: 10.6 states/eV per cell
**E above lowest polymorph**: 0 meV/atom
**Size of the total moment**: 0.00 μB per formula unit
**Calculated total energy**: -39.61 eV/cell
**Volume**: 228 Å³ per cell
**Space group**: No. 12

Lattice parameters (Å, degrees): 3.5584 8.7878 8.5503 118.58 101.99 90.03
Sites, in units of the cell vectors:
Pr1 0.0000 0.0000 0.0000
Y1 0.2949 0.7057 0.5888
Y2 0.3592 0.1682 0.7183
Y3 0.7051 0.2943 0.4112
Y4 0.6408 0.8318 0.2817
Ho1 0.0697 0.4306 0.1406
Ho2 0.9303 0.5694 0.8594

=====

# 18
VASP calculation (PBE) on YCrRu2 after structural relaxation.

**ΔH_f (0 K)**: 0.13 eV/atom
**Fermi-level density of states**: 7.3 states/eV per cell
**E above lowest polymorph**: 105 meV/atom
**Size of the total moment**: 1.89 μB per formula unit
**Calculated total energy**: -34.13 eV/cell
**Volume**: 66 Å³ per cell
**Space group**: No. 225

Lattice parameters (Å, degrees): 4.5381 4.5381 4.5381 60.00 60.00 60.00
Sites, in units of the cell vectors:
Y1 0.5000 0.5000 0.5000
Ru1 0.2500 0.2500 0.2500
Ru2 0.7500 0.7500 0.7500
Cr1 0.0000 0.0000 0.0000

=====

# 19
VASP calculation (PBE) on Pm2PrPb9 after structural relaxation.

**ΔH_f (0 K)**: -0.37 eV/atom
**Fermi-level density of states**: 5.1 states/eV per cell
**Size of the total moment**: 0.00 μB per formula unit
**Calculated total energy**: -52.08 eV/cell
**Volume**: 359 Å³ per cell
**Space group**: No. 123

Lattice parameters (Å, degrees): 4.9270 4.9270 14.7854 90.00 90.00 90.00
Sites, in units of the cell vectors:
Pm1 0.0000 0.0000 0.3343
Pm2 0.0000 0.0000 0.6657
Pr1 0.0000 0.0000 0.0000
Pb1 0.5000 0.5000 0.0000
Pb2 0.5000 0.5000 0.3341
Pb3 0.5000 0.5000 0.6659
Pb4 0.5000 0.0000 0.1683
Pb5 0.5000 0.0000 0.5000
Pb6 0.5000 0.0000 0.8317
Pb7 0.0000 0.5000 0.1683
Pb8 0.0000 0.5000 0.5000
Pb9 0.0000 0.5000 0.8317

=====

# 20
VASP calculation (PBE) on CoMoCl2 after structural relaxation.

**Fermi-level density of states**: 5.5 states/eV per cell
**ΔE_f (raw)**: 0.539 eV/atom
**E above lowest polymorph**: 724 meV/atom
**Size of the total moment**: 1.93 μB per formula unit
**Calculated total energy**: -19.48 eV/cell
**Volume**: 66 Å³ per cell
**Space group**: No. 65

Lattice parameters (Å, degrees): 6.5203 5.6945 2.8723 59.68 116.19 133.14
Sites, in units of the cell vectors:
Mo1 0.5000 0.5000 0.0000
Co1 0.0000 0.5000 0.5000
Cl1 0.0000 0.0000 0.0000
Cl2 0.5000 0.0000 0.5000

=====

# 21
VASP calculation (PBE) on La2TbPrNd6 after structural relaxation.

**ΔH_f (0 K)**: 0.11 eV/atom
**Fermi-level density of states**: 30.9 states/eV per cell
**Size of the total moment**: 0.00 μB per formula unit
**Calculated total energy**: -93.59 eV/cell
**Volume**: 712 Å³ per cell
**Space group**: No. 15

Lattice parameters (Å, degrees): 10.1628 8.9675 8.9675 117.79 95.11 95.11
Sites, in units of the cell vectors:
La1 0.4588 0.8072 0.7110
La2 0.0412 0.2890 0.1928
La3 0.5412 0.1928 0.2890
La4 0.9588 0.7110 0.8072
Tb1 0.2500 0.4055 0.5945
Tb2 0.7500 0.5945 0.4055
Pr1 0.2500 0.9878 0.0122
Pr2 0.7500 0.0122 0.9878
Nd1 0.0554 0.1187 0.7383
Nd2 0.4446 0.2617 0.8813
Nd3 0.9446 0.8813 0.2617
Nd4 0.5554 0.7383 0.1187
Nd5 0.3115 0.9825 0.4230
Nd6 0.1885 0.5770 0.0175
Nd7 0.6885 0.0175 0.5770
Nd8 0.8115 0.4230 0.9825
Nd9 0.1201 0.7006 0.4944
Nd10 0.3799 0.5056 0.2994
Nd11 0.8799 0.2994 0.5056
Nd12 0.6201 0.4944 0.7006

=====

# 22
VASP calculation (PBE) on CuSiS3 after structural relaxation.

**Fermi-level density of states**: 3.6 states/eV per cell
**ΔE_f (raw)**: 0.496 eV/atom
**E above lowest polymorph**: 707 meV/atom
**Size of the total moment**: 0.00 μB per formula unit
**Calculated total energy**: -19.42 eV/cell
**Volume**: 90 Å³ per cell
**Space group**: No. 221

Lattice parameters (Å, degrees): 4.4774 4.4774 4.4774 90.00 90.00 90.00
Sites, in units of the cell vectors:
S1 0.0000 0.5000 0.0000
S2 0.0000 0.0000 0.5000
S3 0.5000 0.0000 0.0000
Si1 0.0000 0.0000 0.0000
Cu1 0.5000 0.5000 0.5000